1.
A plane-wave DFT calculation with PBE-GGA was carried out for Pu4GeSbH after structural relaxation.

The structure in POSCAR format:
```
Pu4GeSbH
1.0
3.092 -8.457 0.000
3.092 8.457 0.000
0.000 0.000 6.215
Pu Ge Sb H
8 2 2 2
Cartesian
1.546 4.229 0.000 Pu
1.546 4.229 3.108 Pu
3.092 7.426 4.662 Pu
3.092 1.276 4.662 Pu
1.546 -4.229 0.000 Pu
1.546 -4.229 3.108 Pu
3.092 -1.276 1.554 Pu
3.092 -7.426 1.554 Pu
3.092 6.447 1.554 Ge
3.092 -6.447 4.662 Ge
3.092 1.870 1.554 Sb
3.092 -1.870 4.662 Sb
3.092 5.081 4.662 H
3.092 -5.081 1.554 H
```

The calculation puts the electronic total energy at -10.3359 eV/atom. The value obtained for the volume is 325 Å³ per cell. For the magnetic moment, the calculation gives 3.32 μB per atom.

2.
A plane-wave DFT calculation with PBE-GGA was carried out for Pu2Sc4Ge3H2 after structural relaxation.

The structure in POSCAR format:
```
Pu2Sc4Ge3H2
1.0
-2.173 2.173 11.109
2.173 -2.173 11.109
2.173 2.173 -11.109
Pu Sc Ge H
2 4 3 2
Cartesian
0.000 0.000 4.408 Pu
0.000 0.000 17.810 Pu
2.173 0.000 1.775 Sc
2.173 0.000 9.334 Sc
0.000 2.173 1.775 Sc
0.000 2.173 9.334 Sc
0.000 0.000 7.432 Ge
0.000 0.000 11.109 Ge
0.000 0.000 14.786 Ge
0.000 0.000 2.051 H
0.000 0.000 20.167 H
```

The calculation puts the electronic total energy at -7.3345 eV/atom. The value obtained for the volume is 210 Å³ per cell. For the magnetic moment, the calculation gives 1.11 μB per atom.

3.
A plane-wave DFT calculation with PBE-GGA was carried out for PuTcGeH2 after structural relaxation.

The structure in POSCAR format:
```
PuTcGeH2
1.0
1.962 -5.280 0.000
1.962 5.280 0.000
0.000 0.000 5.976
Pu Tc Ge H
2 2 2 4
Cartesian
1.962 3.168 4.482 Pu
1.962 -3.168 1.494 Pu
1.962 0.000 0.000 Tc
1.962 0.000 2.988 Tc
1.962 4.405 1.494 Ge
1.962 -4.405 4.482 Ge
1.962 1.771 0.350 H
1.962 1.771 2.638 H
1.962 -1.771 3.337 H
1.962 -1.771 5.626 H
```

The calculation puts the electronic total energy at -7.6027 eV/atom. The value obtained for the volume is 124 Å³ per cell. For the magnetic moment, the calculation gives 0.92 μB per atom.

4.
A plane-wave DFT calculation with PBE-GGA was carried out for Pu2Tc2Ge2H after structural relaxation.

The structure in POSCAR format:
```
Pu2Tc2Ge2H
1.0
-2.061 2.061 7.114
2.061 -2.061 7.114
2.061 2.061 -7.114
Pu Tc Ge H
2 2 2 1
Cartesian
0.000 0.000 2.311 Pu
0.000 0.000 11.917 Pu
2.061 0.000 0.000 Tc
0.000 2.061 0.000 Tc
0.000 0.000 5.460 Ge
0.000 0.000 8.768 Ge
0.000 0.000 0.000 H
```

The calculation puts the electronic total energy at -9.2000 eV/atom. The value obtained for the volume is 121 Å³ per cell. For the magnetic moment, the calculation gives 1.35 μB per atom.

5.
A plane-wave DFT calculation with PBE-GGA was carried out for Pu2Ti2Ge2H after structural relaxation.

The structure in POSCAR format:
```
Pu2Ti2Ge2H
1.0
-2.024 2.024 7.723
2.024 -2.024 7.723
2.024 2.024 -7.723
Pu Ti Ge H
2 2 2 1
Cartesian
0.000 0.000 2.797 Pu
0.000 0.000 12.649 Pu
2.024 0.000 0.000 Ti
0.000 2.024 0.000 Ti
0.000 0.000 5.902 Ge
0.000 0.000 9.544 Ge
0.000 0.000 0.000 H
```

The calculation puts the electronic total energy at -8.6436 eV/atom. The value obtained for the volume is 127 Å³ per cell. For the magnetic moment, the calculation gives 1.70 μB per atom.

6.
A plane-wave DFT calculation with PBE-GGA was carried out for Rb3Ge5H12 after structural relaxation.

The structure in POSCAR format:
```
Rb3Ge5H12
1.0
-6.914 6.914 6.914
6.914 -6.914 6.914
6.914 6.914 -6.914
Rb Ge H
12 20 48
Cartesian
3.457 1.729 0.000 Rb
6.914 3.457 -1.729 Rb
1.729 0.000 3.457 Rb
8.643 0.000 3.457 Rb
0.000 3.457 1.729 Rb
3.457 -1.729 6.914 Rb
3.457 8.643 0.000 Rb
6.914 3.457 5.186 Rb
-1.729 6.914 3.457 Rb
5.186 6.914 3.457 Rb
0.000 3.457 8.643 Rb
3.457 5.186 6.914 Rb
0.000 0.000 0.000 Ge
3.457 3.457 -3.457 Ge
3.457 -3.457 3.457 Ge
6.914 0.000 0.000 Ge
10.371 1.729 0.000 Ge
6.914 -3.457 5.186 Ge
5.186 6.914 -3.457 Ge
5.186 0.000 3.457 Ge
3.457 5.186 0.000 Ge
6.914 3.457 1.729 Ge
-3.457 3.457 3.457 Ge
0.000 6.914 0.000 Ge
0.000 0.000 6.914 Ge
3.457 3.457 3.457 Ge
0.000 3.457 5.186 Ge
3.457 1.729 6.914 Ge
1.729 6.914 3.457 Ge
1.729 0.000 10.371 Ge
0.000 10.371 1.729 Ge
-3.457 5.186 6.914 Ge
5.536 -3.654 4.265 H
11.749 0.808 -0.197 H
8.993 0.808 0.197 H
8.292 -3.260 4.265 H
10.174 2.649 -1.378 H
7.111 -4.835 6.106 H
4.265 5.536 -3.654 H
6.106 -0.197 2.079 H
6.106 7.111 -4.835 H
4.265 -1.378 3.654 H
3.654 4.265 -1.378 H
6.717 2.079 0.808 H
10.568 2.649 1.378 H
6.717 -2.079 6.106 H
6.106 6.717 -2.079 H
4.265 1.378 3.260 H
4.265 8.292 -3.260 H
6.106 0.197 4.835 H
3.260 4.265 1.378 H
7.111 4.835 0.808 H
2.079 6.106 -0.197 H
8.292 3.260 2.649 H
4.835 6.106 0.197 H
5.536 3.654 2.649 H
1.378 3.260 4.265 H
2.079 0.808 6.717 H
-1.378 3.654 4.265 H
4.835 0.808 7.111 H
-0.197 2.079 6.106 H
3.654 2.649 5.536 H
0.808 6.717 2.079 H
2.649 -1.378 10.174 H
2.649 5.536 3.654 H
0.808 0.197 8.993 H
0.197 8.993 0.808 H
-3.654 4.265 5.536 H
0.197 4.835 6.106 H
3.260 2.649 8.292 H
2.649 8.292 3.260 H
0.808 -0.197 11.749 H
0.808 7.111 4.835 H
2.649 1.378 10.568 H
-0.197 11.749 0.808 H
-3.260 4.265 8.292 H
-1.378 10.174 2.649 H
-2.079 6.106 6.717 H
-4.835 6.106 7.111 H
1.378 10.568 2.649 H
```

The calculation puts the electronic total energy at -3.0906 eV/atom. The value obtained for the volume is 1322 Å³ per cell. For the magnetic moment, the calculation gives 0.00 μB per atom.

7.
A plane-wave DFT calculation with PBE-GGA was carried out for Rb4Ge2H after structural relaxation.

The structure in POSCAR format:
```
Rb4Ge2H
1.0
-2.795 2.795 9.584
2.795 -2.795 9.584
2.795 2.795 -9.584
Rb Ge H
4 2 1
Cartesian
2.795 0.000 0.000 Rb
0.000 0.000 3.331 Rb
0.000 2.795 0.000 Rb
0.000 0.000 15.836 Rb
0.000 0.000 6.999 Ge
0.000 0.000 12.169 Ge
0.000 0.000 0.000 H
```

The calculation puts the electronic total energy at -2.0908 eV/atom. The value obtained for the volume is 299 Å³ per cell. For the magnetic moment, the calculation gives 0.72 μB per atom.

8.
A plane-wave DFT calculation with PBE-GGA was carried out for Rb2GeH4 after structural relaxation.

The structure in POSCAR format:
```
Rb2GeH4
1.0
5.147 0.000 0.000
0.000 5.597 0.000
-0.406 0.000 10.927
Rb Ge H
4 2 8
Cartesian
1.169 1.399 1.663 Rb
1.123 4.198 5.145 Rb
3.619 1.399 5.783 Rb
3.572 4.198 9.264 Rb
1.010 1.399 8.656 Ge
3.731 4.198 2.271 Ge
0.202 4.198 2.226 H
1.025 1.399 4.436 H
1.062 0.240 9.789 H
1.062 2.558 9.789 H
3.680 3.039 1.138 H
3.680 5.357 1.138 H
3.716 4.198 6.492 H
4.540 1.399 8.701 H
```

The calculation puts the electronic total energy at -3.0035 eV/atom. The value obtained for the volume is 315 Å³ per cell. For the magnetic moment, the calculation gives 0.00 μB per atom.